A relaxed structure of GdErPO, computed with GGA-PBE.

Cell: 4.1292 7.4811 5.5821 Å, 90.00 90.00 90.00°
Closest atoms and distances in Å follow each position.
Atoms (fractional coordinates):
Er  0.0000  0.2054  0.4392  2 O 2.26
Er  0.0000  0.7946  0.9392  2 O 2.26
Gd  0.5000  0.6266  0.4837  2 O 2.33
Gd  0.5000  0.3734  0.9837  2 O 2.33
O  0.5000  0.3227  0.3958  2 Er 2.26, 2 Gd 2.33
O  0.5000  0.6773  0.8958  2 Er 2.26, 2 Gd 2.33
P  0.0000  0.8482  0.4353  2 Gd 2.66, 3 Er 2.67-2.84
P  0.0000  0.1518  0.9353  2 Gd 2.66, 3 Er 2.67-2.84

calculated total energy = -6.895 eV/atom
space group = Pmc2_1
distance to the lowest polymorph of the same formula = 28 meV/atom
crystal system = orthorhombic

A relaxed structure of Rb2GdErO4, computed with GGA-PBE.

Cell: 3.4735 3.4735 12.9285 Å, 90.00 90.00 120.00°
Closest atoms and distances in Å follow each position.
Atoms (fractional coordinates):
Er  0.0000  0.0000  0.5000  6 O 2.30
Gd  0.0000  0.0000  0.0000  6 O 2.33
O  0.3333  0.6667  0.0919  3 Gd 2.33
O  0.3333  0.6667  0.4126  3 Er 2.30
O  0.6667  0.3333  0.5874  3 Er 2.30
O  0.6667  0.3333  0.9081  3 Gd 2.33
Rb  0.6667  0.3333  0.2511  6 O 2.87-2.90
Rb  0.3333  0.6667  0.7489  6 O 2.87-2.90

calculated total energy = -6.558 eV/atom
space group = P-3m1
crystal system = trigonal

A relaxed structure of GdErSO2, computed with GGA-PBE.

Cell: 3.7926 3.7926 6.5781 Å, 90.00 90.00 120.00°
Closest atoms and distances in Å follow each position.
Atoms (fractional coordinates):
Er  0.0000  0.0000  0.2835  4 O 2.25-2.26
Gd  0.6667  0.3333  0.7195  4 O 2.27-2.32
O  0.6667  0.3333  0.3668  3 Er 2.26, 1 Gd 2.32
O  0.0000  0.0000  0.6259  1 Er 2.25, 3 Gd 2.27
S  0.3333  0.6667  0.0042  3 Er 2.86, 3 Gd 2.88

calculated total energy = -7.854 eV/atom
space group = P3m1
crystal system = trigonal

A relaxed structure of GdErSeO2, computed with GGA-PBE.

Cell: 3.8255 3.8255 6.7652 Å, 90.00 90.00 120.00°
Closest atoms and distances in Å follow each position.
Atoms (fractional coordinates):
Er  0.0000  0.0000  0.2910  4 O 2.25-2.27
Gd  0.6667  0.3333  0.7112  4 O 2.29-2.31
O  0.6667  0.3333  0.3702  3 Er 2.27, 1 Gd 2.31
O  0.0000  0.0000  0.6229  1 Er 2.25, 3 Gd 2.29
Se  0.3333  0.6667  0.0047  3 Er 2.94, 3 Gd 2.97

calculated total energy = -7.636 eV/atom
space group = P3m1
crystal system = trigonal

Among the records above, which one has the highest calculated total energy? Rb2GdErO4